[1]
Zn2Ge2Te: optimized geometry, PBE.

```
10
Lattice="4.440 0.000 0.000 0.000 4.440 0.000 0.000 0.000 10.679" Properties=species:S:1:pos:R:3 pbc="T T T"
Zn 0.000 2.220 2.670
Zn 0.000 2.220 8.009
Zn 2.220 0.000 2.670
Zn 2.220 0.000 8.009
Ge 0.000 0.000 1.234
Ge 0.000 0.000 9.445
Ge 2.220 2.220 4.105
Ge 2.220 2.220 6.574
Te 0.000 0.000 5.340
Te 2.220 2.220 0.000
```

The space group is No. 139. The total DFT energy (no corrections) comes out at -27.63 eV/cell. For the uncorrected formation energy, the calculation gives 0.222 eV per atom.

=====

[2]
CaTe2WN: optimized geometry, PBE.

```
5
Lattice="5.561 0.000 0.000 0.000 5.561 0.000 0.000 0.000 3.869" Properties=species:S:1:pos:R:3 pbc="T T T"
Ca 0.000 0.000 0.000
Te 0.000 2.780 1.935
Te 2.780 0.000 1.935
W 2.780 2.780 1.935
N 2.780 2.780 0.000
```

The space group is No. 123. The total DFT energy (no corrections) comes out at -31.04 eV/cell. For the uncorrected formation energy, the calculation gives -0.295 eV per atom.

=====

[3]
CuRuCl2: optimized geometry, PBE.

```
8
Lattice="3.021 0.000 0.000 0.000 4.314 0.000 0.000 0.000 13.015" Properties=species:S:1:pos:R:3 pbc="T T T"
Cu 0.000 0.000 0.000
Cu 1.510 2.157 6.507
Ru 0.000 0.000 6.507
Ru 1.510 2.157 0.000
Cl 0.000 2.157 1.843
Cl 0.000 2.157 11.172
Cl 1.510 0.000 4.664
Cl 1.510 0.000 8.351
```

The space group is No. 71. The total DFT energy (no corrections) comes out at -33.60 eV/cell. For the uncorrected formation energy, the calculation gives 0.066 eV per atom.